Arrangement i

Density functional theory data (PBE-GGA) for a geometry-optimized TlIrW2 structure.

Results
The space-group type is No. 123. The calculation puts the total magnetization at 0.00 μB per formula unit.

```
4
Lattice="-1.027 2.559 -0.628 -2.113 -0.397 1.838 4.758 3.435 6.214" Properties=species:S:1:pos:R:3 pbc="T T T"
Ir -0.380 1.940 2.158
Tl 1.999 3.657 5.265
W 0.111 0.080 0.145
W 2.268 1.637 2.962
```

Arrangement ii

Density functional theory data (PBE-GGA) for a geometry-optimized TlIrW2 structure.

Results
The space-group type is No. 8. The calculation puts the total magnetization at 0.00 μB per formula unit.

```
4
Lattice="-0.972 -2.012 -4.492 1.872 -1.800 -4.292 0.279 -4.916 1.248" Properties=species:S:1:pos:R:3 pbc="T T T"
Ir 0.581 -4.404 -3.612
Tl 0.293 -2.200 -1.840
W 0.279 -4.809 1.124
W 0.893 -6.595 -5.729
```

Of the structures shown above, arrangement i is the most stable.